The following is a PBE+U calculation of crystalline CrNiP2F at its relaxed geometry, from Alexandria via LeMat-Bulk.

Computed properties:
* symmetry: No. 123
* raw total energy: -3.815 eV/atom

The structure in CIF format:
```
data_CrNiP2F
_chemical_formula_sum 'Cr1 Ni1 P2 F1'
_space_group_name_H-M_alt 'P 1'
_space_group_IT_number 1
_cell_length_a 4.307
_cell_length_b 4.307
_cell_length_c 4.981
_cell_angle_alpha 90.00
_cell_angle_beta 90.00
_cell_angle_gamma 90.00
loop_
_space_group_symop_operation_xyz
'x,y,z'
loop_
_atom_site_label
_atom_site_type_symbol
_atom_site_fract_x
_atom_site_fract_y
_atom_site_fract_z
Cr1 Cr 0.000 0.000 0.000
Ni1 Ni 0.000 0.000 0.500
P1 P 0.000 0.500 0.000
P2 P 0.500 0.000 0.000
F1 F 0.500 0.500 0.500
```